Computed, not measured: SmLu3Tc after structural relaxation at the PBE-GGA level of DFT.

Output
Crystal system: cubic
Formation energy from the elements (eV/f.u.): 0.45

Cell: 5.3025 5.3025 5.3025 Å, 90.00 90.00 90.00°
Space group Pm-3m (No. 221)
Asymmetric unit:
1 Sm 0.0000 0.0000 0.0000 [1 per cell]
2 Lu 0.0000 0.5000 0.5000 [3 per cell]
3 Tc 0.5000 0.5000 0.5000 [1 per cell]


Computed, not measured: SmLuTe2 after structural relaxation at the PBE-GGA level of DFT.

Output
Crystal system: cubic
VASP energy (eV/atom): -5.00

Cell: 7.5803 7.5803 7.5803 Å, 90.00 90.00 90.00°
Space group Fm-3m (No. 225)
Asymmetric unit:
1 Sm 0.0000 0.0000 0.0000 [4 per cell]
2 Lu 0.0000 0.0000 0.5000 [4 per cell]
3 Te 0.2500 0.2500 0.2500 [8 per cell]


Computed, not measured: SmLuTe2 after structural relaxation at the PBE-GGA level of DFT.

Output
Crystal system: tetragonal
VASP energy (eV/atom): -5.01

Cell: 5.3508 5.3508 3.7890 Å, 90.00 90.00 90.00°
Space group P4/mmm (No. 123)
Asymmetric unit:
1 Sm 0.0000 0.0000 0.0000 [1 per cell]
2 Lu 0.5000 0.5000 0.0000 [1 per cell]
3 Te 0.0000 0.5000 0.5000 [2 per cell]


Computed, not measured: Sm2LuTe after structural relaxation at the PBE-GGA level of DFT.

Output
Crystal system: tetragonal
VASP energy (eV/atom): -4.84

Cell: 3.9977 3.9977 7.4904 Å, 90.00 90.00 90.00°
Space group P4/mmm (No. 123)
Asymmetric unit:
1 Sm 0.0000 0.0000 0.2326 [2 per cell]
2 Lu 0.5000 0.5000 0.5000 [1 per cell]
3 Te 0.5000 0.5000 0.0000 [1 per cell]


Computed, not measured: Sm2LuTe after structural relaxation at the PBE-GGA level of DFT.

Output
Crystal system: tetragonal
VASP energy (eV/atom): -4.73

Cell: 5.5609 5.5609 3.8189 Å, 90.00 90.00 90.00°
Space group P4/mmm (No. 123)
Asymmetric unit:
1 Sm 0.0000 0.5000 0.0000 [2 per cell]
2 Lu 0.0000 0.0000 0.5000 [1 per cell]
3 Te 0.5000 0.5000 0.5000 [1 per cell]


Computed, not measured: Sm2LuTh after structural relaxation at the PBE-GGA level of DFT.

Output
Crystal system: tetragonal
Formation energy from the elements (eV/f.u.): 0.19

Cell: 3.5799 3.5799 10.1182 Å, 90.00 90.00 90.00°
Space group P4/mmm (No. 123)
Asymmetric unit:
1 Sm 0.0000 0.0000 0.2466 [2 per cell]
2 Lu 0.5000 0.5000 0.5000 [1 per cell]
3 Th 0.5000 0.5000 0.0000 [1 per cell]


Total magnetic moment list, top to bottom, in μB per cell: 0.00; 5.06; 0.60; 0.00; 0.00; 0.00
V list, top to bottom, in Å³ per atom: 29.82; 27.22; 27.12; 29.93; 29.52; 32.42